(P)
The following is a DFT calculation (PBE) of a relaxed structure of KTa2Fe.

Lattice parameters (Å, degrees): 9.105 3.054 7.697 90.00 102.41 90.00
Element x y z (fractional)
K1 0.000 0.000 0.000
K2 0.500 0.500 0.000
Ta1 0.177 0.000 0.615
Ta2 0.422 0.000 0.437
Ta3 0.677 0.500 0.615
Ta4 0.922 0.500 0.437
Fe1 0.191 0.500 0.391
Fe2 0.691 0.000 0.391

Values from the calculation:
Symmetry: Cm
Fermi-level density of states: 5.7 states/eV/f.u.

=====

(Q)
The following is a DFT calculation (PBE) of a relaxed structure of KTa2Fe.

Lattice parameters (Å, degrees): 5.626 10.415 2.703 90.00 90.00 90.00
Element x y z (fractional)
K1 0.000 0.000 0.000
K2 0.500 0.500 0.000
Ta1 0.250 0.250 0.500
Ta2 0.250 0.750 0.500
Ta3 0.750 0.250 0.500
Ta4 0.750 0.750 0.500
Fe1 0.000 0.500 0.000
Fe2 0.500 0.000 0.000

Values from the calculation:
Symmetry: Cmmm
Fermi-level density of states: 5.0 states/eV/f.u.

=====

Name the most stable of them. (P).

=====

(P)
The following is a DFT calculation (PBE) of a relaxed structure of KTaFe2.

Lattice parameters (Å, degrees): 2.934 2.934 9.154 90.00 90.00 90.00
Element x y z (fractional)
K1 0.000 0.000 0.000
Ta1 0.500 0.500 0.367
Fe1 0.000 0.000 0.543
Fe2 0.500 0.500 0.686

Values from the calculation:
Symmetry: P4mm
Fermi-level density of states: 4.5 states/eV/f.u.

=====

(Q)
The following is a DFT calculation (PBE) of a relaxed structure of KTaFe2.

Lattice parameters (Å, degrees): 7.680 2.793 8.086 90.00 92.90 90.00
Element x y z (fractional)
K1 0.000 0.000 0.000
K2 0.500 0.500 0.000
Ta1 0.226 0.000 0.614
Ta2 0.726 0.500 0.614
Fe1 0.268 0.500 0.326
Fe2 0.489 0.000 0.453
Fe3 0.768 0.000 0.326
Fe4 0.989 0.500 0.453

Values from the calculation:
Symmetry: Cm
Fermi-level density of states: 3.4 states/eV/f.u.

=====

(R)
The following is a DFT calculation (PBE) of a relaxed structure of KTaFe2.

Lattice parameters (Å, degrees): 5.152 5.152 2.702 90.00 90.00 90.00
Element x y z (fractional)
K1 0.000 0.000 0.000
Ta1 0.500 0.500 0.000
Fe1 0.000 0.500 0.500
Fe2 0.500 0.000 0.500

Values from the calculation:
Symmetry: P4/mmm
Fermi-level density of states: 6.1 states/eV/f.u.

=====

(S)
The following is a DFT calculation (PBE) of a relaxed structure of KTaFe2.

Lattice parameters (Å, degrees): 2.941 5.847 9.722 90.00 90.00 90.00
Element x y z (fractional)
K1 0.000 0.000 0.000
K2 0.500 0.500 0.500
Ta1 0.000 0.000 0.500
Ta2 0.500 0.500 0.000
Fe1 0.000 0.500 0.204
Fe2 0.000 0.500 0.796
Fe3 0.500 0.000 0.296
Fe4 0.500 0.000 0.704

Values from the calculation:
Symmetry: Immm
Fermi-level density of states: 6.1 states/eV/f.u.

=====

Name the most stable of them. (P).

=====

(P)
The following is a DFT calculation (PBE) of a relaxed structure of KTaFe2.

Lattice parameters (Å, degrees): 3.042 3.042 28.318 90.00 90.00 120.00
Element x y z (fractional)
K1 0.000 0.000 0.000
K2 0.333 0.667 0.667
K3 0.667 0.333 0.333
Ta1 0.000 0.000 0.500
Ta2 0.333 0.667 0.167
Ta3 0.667 0.333 0.833
Fe1 0.000 0.000 0.232
Fe2 0.000 0.000 0.768
Fe3 0.333 0.667 0.435
Fe4 0.333 0.667 0.899
Fe5 0.667 0.333 0.101
Fe6 0.667 0.333 0.565

Values from the calculation:
Symmetry: R-3m
Fermi-level density of states: 5.1 states/eV/f.u.

=====

(Q)
The following is a DFT calculation (PBE) of a relaxed structure of KTaFe2.

Lattice parameters (Å, degrees): 3.278 3.278 7.823 90.00 90.00 90.00
Element x y z (fractional)
K1 0.000 0.000 0.000
Ta1 0.000 0.000 0.500
Fe1 0.500 0.500 0.350
Fe2 0.500 0.500 0.650

Values from the calculation:
Symmetry: P4/mmm
Fermi-level density of states: 2.2 states/eV/f.u.

=====

Name the most stable of them. (Q).

=====

(P)
The following is a DFT calculation (PBE) of a relaxed structure of KTaFe2.

Lattice parameters (Å, degrees): 2.990 4.037 7.564 90.00 101.36 90.00
Element x y z (fractional)
K1 0.000 0.000 0.000
Ta1 0.704 0.500 0.403
Fe1 0.249 0.000 0.492
Fe2 0.335 0.500 0.668

Values from the calculation:
Symmetry: Pm
Fermi-level density of states: 4.4 states/eV/f.u.

=====

(Q)
The following is a DFT calculation (PBE) of a relaxed structure of KTaFe2.

Lattice parameters (Å, degrees): 8.668 2.967 7.176 90.00 95.47 90.00
Element x y z (fractional)
K1 0.000 0.000 0.000
K2 0.500 0.500 0.000
Ta1 0.000 0.500 0.500
Ta2 0.500 0.000 0.500
Fe1 0.233 0.000 0.623
Fe2 0.267 0.500 0.377
Fe3 0.733 0.500 0.623
Fe4 0.767 0.000 0.377

Values from the calculation:
Symmetry: C2/m
Fermi-level density of states: 3.7 states/eV/f.u.

=====

Name the most stable of them. (Q).

=====

(P)
The following is a DFT calculation (PBE) of a relaxed structure of KTaFe2.

Lattice parameters (Å, degrees): 2.854 4.633 5.402 90.00 90.00 90.00
Element x y z (fractional)
K1 0.000 0.000 0.000
Ta1 0.500 0.000 0.500
Fe1 0.000 0.500 0.500
Fe2 0.500 0.500 0.000

Values from the calculation:
Symmetry: Pmmm
Fermi-level density of states: 4.6 states/eV/f.u.

=====

(Q)
The following is a DFT calculation (PBE) of a relaxed structure of KTaFe2.

Lattice parameters (Å, degrees): 3.852 3.852 9.611 90.00 90.00 90.00
Element x y z (fractional)
K1 0.000 0.000 0.000
K2 0.500 0.500 0.500
Ta1 0.000 0.500 0.750
Ta2 0.500 0.000 0.250
Fe1 0.000 0.000 0.500
Fe2 0.000 0.500 0.250
Fe3 0.500 0.000 0.750
Fe4 0.500 0.500 0.000

Values from the calculation:
Symmetry: I-4m2
Fermi-level density of states: 4.1 states/eV/f.u.

=====

Name the most stable of them. (Q).

=====

(P)
The following is a DFT calculation (PBE) of a relaxed structure of KTaFe3.

Lattice parameters (Å, degrees): 4.789 4.789 4.789 90.00 90.00 90.00
Element x y z (fractional)
K1 0.000 0.000 0.000
Ta1 0.500 0.500 0.500
Fe1 0.000 0.500 0.500
Fe2 0.500 0.000 0.500
Fe3 0.500 0.500 0.000

Values from the calculation:
Symmetry: Pm-3m
Fermi-level density of states: 5.6 states/eV/f.u.

=====

(Q)
The following is a DFT calculation (PBE) of a relaxed structure of KTaFe3.

Lattice parameters (Å, degrees): 4.307 4.307 4.307 90.00 90.00 90.00
Element x y z (fractional)
K1 0.000 0.000 0.000
Ta1 0.500 0.500 0.500
Fe1 0.000 0.000 0.500
Fe2 0.000 0.500 0.000
Fe3 0.500 0.000 0.000

Values from the calculation:
Symmetry: Pm-3m
Fermi-level density of states: 5.2 states/eV/f.u.

=====

Name the most stable of them. (P).